# 1
Here is a geometry-optimized Ho2Ge4Rh5 structure from the Alexandria database. Energies are from GGA-PBE.

a = 8.777 Å, b = 7.898 Å, c = 5.529 Å
α = 79.51°, β = 62.22°, γ = 38.27°
Fractional positions:
Ho 0.123 0.123 0.877
Ho 0.877 0.877 0.123
Ge 0.214 0.524 0.476
Ge 0.476 0.786 0.214
Ge 0.524 0.214 0.786
Ge 0.786 0.476 0.524
Rh 0.000 0.000 0.500
Rh 0.250 0.250 0.250
Rh 0.500 0.500 0.000
Rh 0.500 0.500 0.500
Rh 0.750 0.750 0.750

- Mass density: 9.52 Mg/m³
- Calculated volume: 17.988 Å³ per atom
- Space group: Fmmm
- E_tot: -6.61 eV per atom
- D(E_F): 0.34 states/eV/atom



# 2
Here is a geometry-optimized HoGe3Rh3 structure from the Alexandria database. Energies are from GGA-PBE.

a = 7.600 Å, b = 7.600 Å, c = 7.600 Å
α = 53.95°, β = 53.95°, γ = 53.95°
Fractional positions:
Ho 0.169 0.169 0.169
Ho 0.831 0.831 0.831
Ge 0.151 0.385 0.700
Ge 0.300 0.849 0.615
Ge 0.385 0.700 0.151
Ge 0.615 0.300 0.849
Ge 0.700 0.151 0.385
Ge 0.849 0.615 0.300
Rh 0.011 0.257 0.581
Rh 0.257 0.581 0.011
Rh 0.419 0.989 0.743
Rh 0.581 0.011 0.257
Rh 0.743 0.419 0.989
Rh 0.989 0.743 0.419

- Mass density: 8.62 Mg/m³
- Calculated volume: 19.038 Å³ per atom
- Space group: R-3
- E above lowest polymorph: 0 meV/atom
- D(E_F): 0.50 states/eV/atom



# 3
Here is a geometry-optimized Ho3Ge2Rh3 structure from the Alexandria database. Energies are from GGA-PBE.

a = 7.486 Å, b = 15.106 Å, c = 5.557 Å
α = 90.00°, β = 90.00°, γ = 90.00°
Fractional positions:
Ho 0.024 0.106 0.136
Ho 0.024 0.394 0.136
Ho 0.167 0.250 0.606
Ho 0.333 0.750 0.106
Ho 0.476 0.606 0.636
Ho 0.476 0.894 0.636
Ho 0.524 0.106 0.364
Ho 0.524 0.394 0.364
Ho 0.667 0.250 0.894
Ho 0.833 0.750 0.394
Ho 0.976 0.606 0.864
Ho 0.976 0.894 0.864
Ge 0.122 0.609 0.367
Ge 0.122 0.891 0.367
Ge 0.378 0.109 0.867
Ge 0.378 0.391 0.867
Ge 0.622 0.609 0.133
Ge 0.622 0.891 0.133
Ge 0.878 0.109 0.633
Ge 0.878 0.391 0.633
Rh 0.174 0.034 0.591
Rh 0.174 0.466 0.591
Rh 0.186 0.750 0.619
Rh 0.314 0.250 0.119
Rh 0.326 0.534 0.091
Rh 0.326 0.966 0.091
Rh 0.674 0.034 0.909
Rh 0.674 0.466 0.909
Rh 0.686 0.750 0.881
Rh 0.814 0.250 0.381
Rh 0.826 0.534 0.409
Rh 0.826 0.966 0.409

- Mass density: 10.03 Mg/m³
- Calculated volume: 19.639 Å³ per atom
- Space group: Pnma
- E_tot: -6.58 eV per atom
- D(E_F): 0.54 states/eV/atom



# 4
Here is a geometry-optimized Ho3Ge2Rh2 structure from the Alexandria database. Energies are from GGA-PBE.

a = 5.577 Å, b = 7.751 Å, c = 13.260 Å
α = 90.00°, β = 90.00°, γ = 90.00°
Fractional positions:
Ho 0.129 0.238 0.250
Ho 0.129 0.262 0.750
Ho 0.355 0.603 0.100
Ho 0.355 0.603 0.400
Ho 0.355 0.897 0.600
Ho 0.355 0.897 0.900
Ho 0.645 0.103 0.100
Ho 0.645 0.103 0.400
Ho 0.645 0.397 0.600
Ho 0.645 0.397 0.900
Ho 0.871 0.738 0.250
Ho 0.871 0.762 0.750
Ge 0.168 0.250 0.000
Ge 0.168 0.250 0.500
Ge 0.374 0.614 0.750
Ge 0.374 0.886 0.250
Ge 0.626 0.114 0.750
Ge 0.626 0.386 0.250
Ge 0.832 0.750 0.000
Ge 0.832 0.750 0.500
Rh 0.126 0.545 0.593
Rh 0.126 0.545 0.907
Rh 0.126 0.955 0.093
Rh 0.126 0.955 0.407
Rh 0.874 0.045 0.593
Rh 0.874 0.045 0.907
Rh 0.874 0.455 0.093
Rh 0.874 0.455 0.407

- Mass density: 9.80 Mg/m³
- Calculated volume: 20.471 Å³ per atom
- Space group: Pbcm
- E_tot: -6.32 eV per atom
- D(E_F): 0.58 states/eV/atom



# 5
Here is a geometry-optimized HoGe3Rh2 structure from the Alexandria database. Energies are from GGA-PBE.

a = 7.906 Å, b = 7.906 Å, c = 7.387 Å
α = 113.02°, β = 113.02°, γ = 30.42°
Fractional positions:
Ho 0.128 0.128 0.149
Ho 0.872 0.872 0.851
Ge 0.035 0.035 0.679
Ge 0.320 0.320 0.104
Ge 0.332 0.332 0.526
Ge 0.668 0.668 0.474
Ge 0.680 0.680 0.896
Ge 0.965 0.965 0.321
Rh 0.210 0.210 0.715
Rh 0.497 0.497 0.185
Rh 0.503 0.503 0.815
Rh 0.790 0.790 0.285

- Mass density: 9.15 Mg/m³
- Calculated volume: 17.810 Å³ per atom
- Space group: C2/m
- E_tot: -6.13 eV per atom
- D(E_F): 0.44 states/eV/atom



# 6
Here is a geometry-optimized Ho3Ge4Rh7 structure from the Alexandria database. Energies are from GGA-PBE.

a = 7.950 Å, b = 7.950 Å, c = 9.325 Å
α = 123.50°, β = 123.50°, γ = 29.60°
Fractional positions:
Ho 0.000 0.000 0.000
Ho 0.332 0.332 0.337
Ho 0.668 0.668 0.663
Ge 0.112 0.112 0.835
Ge 0.334 0.334 0.725
Ge 0.666 0.666 0.275
Ge 0.888 0.888 0.165
Rh 0.000 0.000 0.500
Rh 0.162 0.162 0.424
Rh 0.305 0.305 0.958
Rh 0.493 0.493 0.722
Rh 0.507 0.507 0.278
Rh 0.695 0.695 0.042
Rh 0.838 0.838 0.576

- Mass density: 10.46 Mg/m³
- Calculated volume: 17.071 Å³ per atom
- Space group: C2/m
- E_tot: -6.86 eV per atom
- D(E_F): 0.41 states/eV/atom



# 7
Here is a geometry-optimized HoGe2Rh structure from the Alexandria database. Energies are from GGA-PBE.

a = 9.421 Å, b = 9.421 Å, c = 9.421 Å
α = 153.94°, β = 123.57°, γ = 63.18°
Fractional positions:
Ho 0.205 0.205 0.000
Ho 0.236 0.000 0.236
Ho 0.764 0.000 0.764
Ho 0.795 0.795 0.000
Ge 0.077 0.577 0.500
Ge 0.148 0.800 0.348
Ge 0.421 0.421 0.000
Ge 0.453 0.800 0.652
Ge 0.547 0.200 0.348
Ge 0.579 0.579 0.000
Ge 0.852 0.200 0.652
Ge 0.923 0.423 0.500
Rh 0.105 0.354 0.751
Rh 0.396 0.646 0.751
Rh 0.604 0.354 0.249
Rh 0.895 0.646 0.249

- Mass density: 9.04 Mg/m³
- Calculated volume: 18.980 Å³ per atom
- Space group: Immm
- E_tot: -6.12 eV per atom
- D(E_F): 0.37 states/eV/atom



# 8
Here is a geometry-optimized Ho2GeRh structure from the Alexandria database. Energies are from GGA-PBE.

a = 4.806 Å, b = 4.806 Å, c = 3.640 Å
α = 90.00°, β = 90.00°, γ = 90.00°
Fractional positions:
Ho 0.000 0.500 0.000
Ho 0.500 0.000 0.000
Ge 0.000 0.000 0.500
Rh 0.500 0.500 0.500

- Mass density: 9.98 Mg/m³
- Calculated volume: 21.019 Å³ per atom
- Space group: P4/mmm
- E_tot: -6.06 eV per atom
- D(E_F): 0.30 states/eV/atom



# 9
Here is a geometry-optimized HoGe2RuRh structure from the Alexandria database. Energies are from GGA-PBE.

a = 5.842 Å, b = 5.842 Å, c = 5.842 Å
α = 137.87°, β = 137.87°, γ = 61.10°
Fractional positions:
Ho 0.000 0.000 0.000
Ge 0.375 0.375 0.000
Ge 0.625 0.625 0.000
Ru 0.750 0.250 0.500
Rh 0.250 0.750 0.500

- Mass density: 9.62 Mg/m³
- Calculated volume: 17.744 Å³ per atom
- Space group: I-4m2
- E_tot: -6.87 eV per atom
- D(E_F): 0.39 states/eV/atom



# 10
Here is a geometry-optimized HoGeRuRh structure from the Alexandria database. Energies are from GGA-PBE.

a = 4.531 Å, b = 4.531 Å, c = 4.531 Å
α = 60.00°, β = 60.00°, γ = 60.00°
Fractional positions:
Ho 0.000 0.000 0.000
Ge 0.500 0.500 0.500
Ru 0.250 0.250 0.250
Rh 0.750 0.750 0.750

- Mass density: 11.15 Mg/m³
- Calculated volume: 16.441 Å³ per atom
- Space group: F-43m
- E_tot: -7.04 eV per atom
- D(E_F): 0.29 states/eV/atom



# 11
Here is a geometry-optimized Ho2Ge2SbRh5 structure from the Alexandria database. Energies are from GGA-PBE.

a = 9.767 Å, b = 9.767 Å, c = 3.659 Å
α = 90.00°, β = 90.00°, γ = 90.00°
Fractional positions:
Ho 0.175 0.325 0.000
Ho 0.325 0.825 0.000
Ho 0.675 0.175 0.000
Ho 0.825 0.675 0.000
Ge 0.122 0.622 0.000
Ge 0.378 0.122 0.000
Ge 0.622 0.878 0.000
Ge 0.878 0.378 0.000
Sb 0.000 0.000 0.000
Sb 0.500 0.500 0.000
Rh 0.000 0.500 0.500
Rh 0.069 0.789 0.500
Rh 0.211 0.069 0.500
Rh 0.289 0.569 0.500
Rh 0.431 0.289 0.500
Rh 0.500 0.000 0.500
Rh 0.569 0.711 0.500
Rh 0.711 0.431 0.500
Rh 0.789 0.931 0.500
Rh 0.931 0.211 0.500

- Mass density: 10.58 Mg/m³
- Calculated volume: 17.450 Å³ per atom
- Space group: P4/mbm
- Energy relative to the elements, uncorrected: -0.80 eV/atom
- D(E_F): 0.58 states/eV/atom



# 12
Here is a geometry-optimized Ho2ScGe2Rh5 structure from the Alexandria database. Energies are from GGA-PBE.

a = 9.844 Å, b = 9.844 Å, c = 3.601 Å
α = 90.00°, β = 90.00°, γ = 90.00°
Fractional positions:
Ho 0.173 0.327 0.000
Ho 0.327 0.827 0.000
Ho 0.673 0.173 0.000
Ho 0.827 0.673 0.000
Sc 0.000 0.000 0.000
Sc 0.500 0.500 0.000
Ge 0.125 0.625 0.000
Ge 0.375 0.125 0.000
Ge 0.625 0.875 0.000
Ge 0.875 0.375 0.000
Rh 0.000 0.500 0.500
Rh 0.068 0.789 0.500
Rh 0.211 0.068 0.500
Rh 0.289 0.568 0.500
Rh 0.432 0.289 0.500
Rh 0.500 0.000 0.500
Rh 0.568 0.711 0.500
Rh 0.711 0.432 0.500
Rh 0.789 0.932 0.500
Rh 0.932 0.211 0.500

- Mass density: 9.85 Mg/m³
- Calculated volume: 17.448 Å³ per atom
- Space group: P4/mbm
- E_tot: -7.03 eV per atom
- D(E_F): 0.50 states/eV/atom



Repeat the third record exactly.
Here is a geometry-optimized Ho3Ge2Rh3 structure from the Alexandria database. Energies are from GGA-PBE.

a = 7.486 Å, b = 15.106 Å, c = 5.557 Å
α = 90.00°, β = 90.00°, γ = 90.00°
Fractional positions:
Ho 0.024 0.106 0.136
Ho 0.024 0.394 0.136
Ho 0.167 0.250 0.606
Ho 0.333 0.750 0.106
Ho 0.476 0.606 0.636
Ho 0.476 0.894 0.636
Ho 0.524 0.106 0.364
Ho 0.524 0.394 0.364
Ho 0.667 0.250 0.894
Ho 0.833 0.750 0.394
Ho 0.976 0.606 0.864
Ho 0.976 0.894 0.864
Ge 0.122 0.609 0.367
Ge 0.122 0.891 0.367
Ge 0.378 0.109 0.867
Ge 0.378 0.391 0.867
Ge 0.622 0.609 0.133
Ge 0.622 0.891 0.133
Ge 0.878 0.109 0.633
Ge 0.878 0.391 0.633
Rh 0.174 0.034 0.591
Rh 0.174 0.466 0.591
Rh 0.186 0.750 0.619
Rh 0.314 0.250 0.119
Rh 0.326 0.534 0.091
Rh 0.326 0.966 0.091
Rh 0.674 0.034 0.909
Rh 0.674 0.466 0.909
Rh 0.686 0.750 0.881
Rh 0.814 0.250 0.381
Rh 0.826 0.534 0.409
Rh 0.826 0.966 0.409

- Mass density: 10.03 Mg/m³
- Calculated volume: 19.639 Å³ per atom
- Space group: Pnma
- E_tot: -6.58 eV per atom
- D(E_F): 0.54 states/eV/atom



Which of these has the lowest calculated volume?
HoGeRuRh



Which value of D(E_F) does entry 3 give?
0.54 states/eV/atom